1.
The following is a PBE calculation of Y3Zn9Pd2 after structural relaxation, from Alexandria via LeMat-Bulk.

## Properties
crystal system: orthorhombic
formation energy from the elements: -0.47 eV per atom
electronic total energy: -47.815 eV/f.u.

Lattice parameters (Å, degrees): 4.316 8.916 13.058 90.00 90.00 90.00
Space group Immm (No. 71)
Asymmetric unit:
Y 0.000 0.000 0.000 [2 per cell]
Y 0.000 0.000 0.304 [4 per cell]
Zn 0.000 0.281 0.131 [8 per cell]
Zn 0.000 0.359 0.333 [8 per cell]
Zn 0.000 0.500 0.000 [2 per cell]
Pd 0.000 0.194 0.500 [4 per cell]

---

2.
The following is a PBE calculation of AcPmSiIr after structural relaxation, from Alexandria via LeMat-Bulk.

## Properties
crystal system: cubic
uncorrected formation energy: -1.49 eV per formula unit
electronic total energy: -24.630 eV/f.u.

Lattice parameters (Å, degrees): 7.378 7.378 7.378 90.00 90.00 90.00
Space group F-43m (No. 216)
Asymmetric unit:
Ac 0.000 0.000 0.000 [4 per cell]
Pm 0.000 0.000 0.500 [4 per cell]
Si 0.250 0.250 0.750 [4 per cell]
Ir 0.250 0.250 0.250 [4 per cell]

---

3.
The following is a PBE calculation of Pr7Nd3Dy after structural relaxation, from Alexandria via LeMat-Bulk.

## Properties
excess energy over the best structure of this formula in the dataset: 0.04 eV/f.u.
crystal system: monoclinic
formation energy from the elements: 0.22 eV per atom
electronic total energy: -49.913 eV/f.u.

Lattice parameters (Å, degrees): 11.903 10.390 6.580 90.00 95.03 90.00
Space group C2/m (No. 12)
Asymmetric unit:
Pr 0.000 0.000 0.000 [2 per cell]
Pr 0.239 0.500 0.215 [4 per cell]
Pr 0.245 0.173 0.262 [8 per cell]
Nd 0.000 0.329 0.000 [4 per cell]
Nd 0.000 0.500 0.500 [2 per cell]
Dy 0.000 0.000 0.500 [2 per cell]

---

4.
The following is a PBE calculation of CaRe2Ni after structural relaxation, from Alexandria via LeMat-Bulk.

## Properties
excess energy over the best structure of this formula in the dataset: 3.69 eV/f.u.
crystal system: cubic
formation energy from the elements: 1.19 eV per atom
electronic total energy: -27.920 eV/f.u.

Lattice parameters (Å, degrees): 6.297 6.297 6.297 90.00 90.00 90.00
Space group Fm-3m (No. 225)
Asymmetric unit:
Ca 0.000 0.000 0.000 [4 per cell]
Re 0.250 0.250 0.250 [8 per cell]
Ni 0.000 0.000 0.500 [4 per cell]

---

What did the second record say?
The following is a PBE calculation of AcPmSiIr after structural relaxation, from Alexandria via LeMat-Bulk.

## Properties
crystal system: cubic
uncorrected formation energy: -1.49 eV per formula unit
electronic total energy: -24.630 eV/f.u.

Lattice parameters (Å, degrees): 7.378 7.378 7.378 90.00 90.00 90.00
Space group F-43m (No. 216)
Asymmetric unit:
Ac 0.000 0.000 0.000 [4 per cell]
Pm 0.000 0.000 0.500 [4 per cell]
Si 0.250 0.250 0.750 [4 per cell]
Ir 0.250 0.250 0.250 [4 per cell]

---

Please write out number 1 again, unchanged.
The following is a PBE calculation of Y3Zn9Pd2 after structural relaxation, from Alexandria via LeMat-Bulk.

## Properties
crystal system: orthorhombic
formation energy from the elements: -0.47 eV per atom
electronic total energy: -47.815 eV/f.u.

Lattice parameters (Å, degrees): 4.316 8.916 13.058 90.00 90.00 90.00
Space group Immm (No. 71)
Asymmetric unit:
Y 0.000 0.000 0.000 [2 per cell]
Y 0.000 0.000 0.304 [4 per cell]
Zn 0.000 0.281 0.131 [8 per cell]
Zn 0.000 0.359 0.333 [8 per cell]
Zn 0.000 0.500 0.000 [2 per cell]
Pd 0.000 0.194 0.500 [4 per cell]

---

Repeat the third record exactly.
The following is a PBE calculation of Pr7Nd3Dy after structural relaxation, from Alexandria via LeMat-Bulk.

## Properties
excess energy over the best structure of this formula in the dataset: 0.04 eV/f.u.
crystal system: monoclinic
formation energy from the elements: 0.22 eV per atom
electronic total energy: -49.913 eV/f.u.

Lattice parameters (Å, degrees): 11.903 10.390 6.580 90.00 95.03 90.00
Space group C2/m (No. 12)
Asymmetric unit:
Pr 0.000 0.000 0.000 [2 per cell]
Pr 0.239 0.500 0.215 [4 per cell]
Pr 0.245 0.173 0.262 [8 per cell]
Nd 0.000 0.329 0.000 [4 per cell]
Nd 0.000 0.500 0.500 [2 per cell]
Dy 0.000 0.000 0.500 [2 per cell]